Entry 1:
Density functional theory data (PBE) for crystalline ErNiB4 at its relaxed geometry.

Cell lengths 7.5074, 7.5074, 8.4810 Å; angles 90.00, 90.00, 90.00 degrees
With the nearest neighbours (Å) after each atom.
Space group I4/mmm (No. 139)
One atom of each set of equivalent atoms:
Er  0.0000  0.0000  0.2032 (multiplicity 4)  16 B 2.76-2.86, 4 Ni 3.05
Er  0.0000  0.5000  0.2500 (multiplicity 4)  16 B 2.78-2.84, 4 Ni 2.94
Ni  0.0000  0.2293  0.5000 (multiplicity 8)  6 B 2.07-2.18
B  0.1112  0.2752  0.0000 (multiplicity 16)  4 B 1.67-1.75
B  0.2333  0.2333  0.3472 (multiplicity 16)  3 B 1.69-1.75

The formation energy comes out at -0.5780 eV per atom. As for the volume: 478 Å³/cell. For the density of states at the Fermi level, the calculation gives 0.2652 states/eV per atom. For the raw total energy, the calculation gives -6.754 eV per atom.

Entry 2:
Density functional theory data (PBE) for crystalline ErNi3B at its relaxed geometry.

Cell lengths 5.6040, 5.6040, 9.2617 Å; angles 90.00, 90.00, 120.00 degrees
With the nearest neighbours (Å) after each atom.
Space group P6_3/mmc (No. 194)
One atom of each set of equivalent atoms:
Er  0.0000  0.0000  0.0000 (multiplicity 2)  12 Ni 2.76-2.80
Er  0.3333  0.6667  0.2500 (multiplicity 2)  12 Ni 2.80-2.82
Ni  0.0000  0.5000  0.0000 (multiplicity 6)  2 B 2.08
Ni  0.1541  0.3083  0.7500 (multiplicity 6)  2 B 2.01
B  0.3333  0.6667  0.6410 (multiplicity 4)  6 Ni 2.01-2.08, 1 B 2.02

The formation energy comes out at -0.4070 eV per atom. As for the volume: 252 Å³/cell. For the density of states at the Fermi level, the calculation gives 0.4743 states/eV per atom. For the raw total energy, the calculation gives -6.124 eV per atom.

Entry 3:
Density functional theory data (PBE) for crystalline ErNi2B at its relaxed geometry.

Cell lengths 3.6549, 3.6549, 14.2369 Å; angles 90.00, 90.00, 120.00 degrees
With the nearest neighbours (Å) after each atom.
Space group R-3m (No. 166, hexagonal axes)
One atom of each set of equivalent atoms:
Er  0.0000  0.0000  0.0000 (multiplicity 3)  8 Ni 2.83-2.86
Ni  0.0000  0.0000  0.2006 (multiplicity 6)  3 B 2.16, 3 Ni 2.32
B  0.0000  0.0000  0.5000 (multiplicity 3)  6 Ni 2.16

The formation energy comes out at -0.3322 eV per atom. As for the volume: 165 Å³/cell. For the density of states at the Fermi level, the calculation gives 0.8081 states/eV per atom. For the raw total energy, the calculation gives -6.033 eV per atom.

Entry 4:
Density functional theory data (PBE) for crystalline ErNi7B5 at its relaxed geometry.

Cell lengths 4.4107, 7.5870, 7.4488 Å; angles 90.00, 90.00, 90.00 degrees
With the nearest neighbours (Å) after each atom.
Space group Imm2 (No. 44)
One atom of each set of equivalent atoms:
Er  0.0000  0.0000  0.0000 (multiplicity 2)  10 Ni 2.54-2.77, 2 B 2.84
Ni  0.0000  0.0000  0.3413 (multiplicity 2)  5 Ni 2.33-2.38, 4 B 2.43, 1 Er 2.54
Ni  0.0000  0.0000  0.6537 (multiplicity 2)  6 B 2.18-2.34, 1 Ni 2.33
Ni  0.0000  0.2921  0.4570 (multiplicity 4)  5 B 2.10-2.31
Ni  0.0000  0.3456  0.0252 (multiplicity 4)  3 B 2.11-2.17, 1 Ni 2.34
Ni  0.0000  0.5000  0.7243 (multiplicity 2)  4 B 2.12, 2 Ni 2.37
B  0.0000  0.5000  0.2602 (multiplicity 2)  6 Ni 2.11-2.34, 4 B 2.29
B  0.2059  0.2477  0.7390 (multiplicity 8)  1 B 1.82

The formation energy comes out at -0.1383 eV per atom. As for the volume: 249 Å³/cell. For the density of states at the Fermi level, the calculation gives 0.5581 states/eV per atom. For the raw total energy, the calculation gives -6.171 eV per atom.

Entry 5:
Density functional theory data (PBE) for crystalline ErNiB4 at its relaxed geometry.

Cell lengths 7.2504, 9.2683, 3.3938 Å; angles 90.00, 90.00, 90.00 degrees
With the nearest neighbours (Å) after each atom.
Space group Cmmm (No. 65)
One atom of each set of equivalent atoms:
Er  0.0000  0.1995  0.0000 (multiplicity 4)  14 B 2.57-2.70
Ni  0.1770  0.5000  0.0000 (multiplicity 4)  10 B 2.22-2.29
B  0.0000  0.4079  0.5000 (multiplicity 4)  3 B 1.71-1.73
B  0.1262  0.0000  0.5000 (multiplicity 4)  3 B 1.81-1.83
B  0.2239  0.3444  0.5000 (multiplicity 8)  3 B 1.73-1.81

The formation energy comes out at -0.5554 eV per atom. As for the volume: 228 Å³/cell. For the density of states at the Fermi level, the calculation gives 0.2639 states/eV per atom. For the raw total energy, the calculation gives -6.731 eV per atom.

Entry 6:
Density functional theory data (PBE) for crystalline ErNi6B6 at its relaxed geometry.

Cell lengths 4.2300, 7.3348, 7.5232 Å; angles 90.00, 90.00, 90.00 degrees
With the nearest neighbours (Å) after each atom.
Space group Immm (No. 71)
One atom of each set of equivalent atoms:
Er  0.0000  0.0000  0.0000 (multiplicity 2)  8 Ni 2.50-2.62, 4 B 2.76
Ni  0.0000  0.0000  0.3484 (multiplicity 4)  6 B 2.22-2.24, 3 Ni 2.28-2.42
Ni  0.0000  0.3409  0.0000 (multiplicity 4)  6 B 2.24-2.26, 1 Ni 2.33, 1 Er 2.50
Ni  0.0000  0.5000  0.3083 (multiplicity 4)  6 B 2.16-2.28
B  0.0000  0.2590  0.5000 (multiplicity 4)  4 B 2.16, 6 Ni 2.22-2.28
B  0.2500  0.2500  0.2500 (multiplicity 8)  4 B 2.12-2.16, 6 Ni 2.16-2.26

The formation energy comes out at -0.0694 eV per atom. As for the volume: 233 Å³/cell. For the density of states at the Fermi level, the calculation gives 0.3498 states/eV per atom. For the raw total energy, the calculation gives -6.171 eV per atom.

Entry 7:
Density functional theory data (PBE) for crystalline ErNi3B2 at its relaxed geometry.

Cell lengths 8.3637, 8.3637, 3.3045 Å; angles 90.00, 90.00, 120.00 degrees
With the nearest neighbours (Å) after each atom.
Space group P6/mmm (No. 191)
One atom of each set of equivalent atoms:
Er  0.0000  0.0000  0.0000 (multiplicity 1)  6 B 2.74, 12 Ni 2.91
Er  0.3333  0.6667  0.5000 (multiplicity 2)  6 B 2.66, 6 Ni 2.93
Ni  0.0000  0.2862  0.5000 (multiplicity 6)  4 B 2.15, 2 Ni 2.39
Ni  0.0000  0.5000  0.0000 (multiplicity 3)  4 B 2.27, 4 Ni 2.43
B  0.1893  0.3786  0.0000 (multiplicity 6)  6 Ni 2.15-2.27

The formation energy comes out at -0.4176 eV per atom. As for the volume: 200 Å³/cell. For the density of states at the Fermi level, the calculation gives 0.5390 states/eV per atom. For the raw total energy, the calculation gives -6.295 eV per atom.

Entry 8:
Density functional theory data (PBE) for crystalline ErNiB at its relaxed geometry.

Cell lengths 3.6565, 3.6565, 3.7396 Å; angles 90.00, 90.00, 120.00 degrees
With the nearest neighbours (Å) after each atom.
Space group P-6m2 (No. 187)
One atom of each set of equivalent atoms:
Er  0.0000  0.0000  0.0000 (multiplicity 1)  6 Ni 2.82, 6 B 2.82
Ni  0.6667  0.3333  0.5000 (multiplicity 1)  3 B 2.11
B  0.3333  0.6667  0.5000 (multiplicity 1)  3 Ni 2.11

The formation energy comes out at -0.4001 eV per atom. As for the volume: 43 Å³/cell. For the density of states at the Fermi level, the calculation gives 0.7901 states/eV per atom. For the raw total energy, the calculation gives -6.074 eV per atom.